A plane-wave DFT calculation with PBE was carried out for an optimized crystal structure of Ac2LaHg6.

Geometry as POSCAR:
```
Ac2LaHg6
1.0
-3.154 1.510 -1.614
-2.762 -8.097 -2.177
-2.297 3.507 7.769
Hg La Ac
6 1 2
Direct
0.500 0.669 0.669
0.500 0.331 0.331
0.500 0.331 0.000
0.500 0.000 0.331
0.500 0.000 0.669
0.500 0.669 0.000
0.000 0.000 0.000
0.000 0.333 0.667
0.000 0.667 0.333
```

Results
Formation energy from the elements, eV/atom: -0.471
E_tot, eV for the cell shown: -19.20
Calculated density, g cm⁻³: 11.476
Space-group type: No. 191
Crystal system: hexagonal



A plane-wave DFT calculation with PBE was carried out for an optimized crystal structure of AcLaHg4.

Geometry as POSCAR:
```
AcLaHg4
1.0
3.671 0.003 -0.871
-0.005 5.108 -0.001
-1.657 0.000 9.451
Hg La Ac
4 1 1
Direct
0.666 0.497 0.662
0.173 0.997 0.169
0.829 0.997 0.828
0.337 0.497 0.334
0.001 0.997 0.498
0.501 0.497 0.998
```

Results
Formation energy from the elements, eV/atom: -0.475
E_tot, eV for the cell shown: -13.09
Calculated density, g cm⁻³: 11.422
E above lowest polymorph, kcal/mol of atoms: 0.05
Space-group type: No. 10
Crystal system: monoclinic